The following is a DFT calculation (PBE+U) of an optimized crystal structure of TlMoP2F.

The value obtained for the uncorrected energy is -3.94 eV/atom. The value obtained for the total magnetization is 0.6430 μB per atom. As for the crystal system: tetragonal.

The structure belongs to space group P4/mmm (No. 123); the cell edges are 5.0190, 5.0190 and 4.1654 Å and the angles 90.00°, 90.00° and 90.00°. The inequivalent atoms are Tl at (0.0000, 0.0000, 0.0000), Mo at (0.5000, 0.5000, 0.0000), P at (0.0000, 0.5000, 0.5000) and F at (0.5000, 0.5000, 0.5000).